VASP calculation (GGA-PBE) on a geometry-optimized Th2CuAu2 structure.

Values from the calculation:
- Total magnetization: 0.00 μB/atom
- DFT formation energy: -0.50 eV per atom
- Symmetry: No. 12
- Calculated total energy: -5.5977 eV/atom

Lattice parameters (Å, degrees): 4.443 5.858 10.082 89.49 77.27 67.71
Fractional positions:
Th 0.682 0.289 0.347
Au 0.073 0.280 0.573
Cu 0.390 0.889 0.330
Cu 0.610 0.111 0.670
Th 0.078 0.732 0.111
Th 0.922 0.268 0.889
Au 0.927 0.720 0.427
Au 0.649 0.821 0.881
Au 0.351 0.179 0.119
Th 0.318 0.711 0.653